Entry 1:
A plane-wave DFT calculation with PBE was carried out for crystalline AcSm2HoP4 at its relaxed geometry.

## Properties
N(E_F) ... 0.7 states/eV/f.u.
ΔE_f ... -1.504 eV/atom
Crystal system ... monoclinic

abc: 4.1704 7.2230 7.2216
angles: 70.65 90.00 90.00
Closest atoms and distances in Å follow each position.
Fractional coordinates of all 8 atoms:
P 0.5000 0.2491 0.7397  3 Sm 2.88-2.98, 2 Ho 2.92, 1 Ac 3.01
P 0.0000 0.2406 0.2646  3 Sm 2.88-2.98, 1 Ho 2.92, 2 Ac 3.02
P 0.0000 0.7594 0.7354  3 Sm 2.88-2.98, 1 Ho 2.92, 2 Ac 3.02
P 0.5000 0.7509 0.2603  3 Sm 2.88-2.98, 2 Ho 2.92, 1 Ac 3.01
Sm 0.0000 0.0000 0.0000  6 P 2.98
Sm 0.5000 0.0000 0.5000  6 P 2.88
Ho 0.0000 0.5000 0.5000  6 P 2.92
Ac 0.5000 0.5000 0.0000  6 P 3.01-3.02

Entry 2:
A plane-wave DFT calculation with PBE was carried out for crystalline AcHoTeP at its relaxed geometry.

## Properties
N(E_F) ... 2.6 states/eV/f.u.
Crystal system ... trigonal
Energy relative to the elements, uncorrected ... -1.46 eV/atom

abc: 4.2382 4.2386 8.0585
angles: 90.00 105.25 119.99
Closest atoms and distances in Å follow each position.
Fractional coordinates of all 4 atoms:
Te 0.9837 0.3900 0.3887  3 Ho 3.20, 3 Ac 3.42, 1 P 3.51
P 0.2885 0.5421 0.8460  3 Ho 2.85, 3 Ac 3.03
Ac 0.1100 0.9529 0.0782  3 P 3.03
Ho 0.4957 0.1458 0.6567  3 P 2.85

Entry 3:
A plane-wave DFT calculation with PBE was carried out for crystalline Ac4HoTh3P8 at its relaxed geometry.

## Properties
N(E_F) ... 3.9 states/eV/f.u.
ΔE_f ... -1.513 eV/atom
Crystal system ... trigonal

abc: 8.5029 8.5717 8.5030
angles: 119.73 120.00 90.00
Closest atoms and distances in Å follow each position.
Fractional coordinates of all 16 atoms:
P 0.7431 0.7293 0.4862  3 Th 2.94, 3 Ac 3.11
P 0.7586 0.2723 0.5172  1 Ho 2.92, 2 Th 2.94, 3 Ac 3.11-3.13
P 0.7448 0.7276 0.9862  1 Ho 2.92, 2 Th 2.94, 3 Ac 3.11-3.13
P 0.2552 0.2724 0.0138  1 Ho 2.92, 2 Th 2.94, 3 Ac 3.11-3.13
P 0.2414 0.7276 0.9862  1 Ho 2.92, 2 Th 2.94, 3 Ac 3.11-3.13
P 0.7586 0.2724 0.0138  1 Ho 2.92, 2 Th 2.94, 3 Ac 3.11-3.13
P 0.2569 0.2707 0.5138  3 Th 2.94, 3 Ac 3.11
P 0.2414 0.7277 0.4828  1 Ho 2.92, 2 Th 2.94, 3 Ac 3.11-3.13
Ac 0.0000 0.0000 0.5000  6 P 3.11
Ac 0.5000 0.0000 0.5000  6 P 3.11
Ac 0.0000 0.0000 0.0000  6 P 3.11
Ac 0.5000 0.0000 0.0000  6 P 3.13
Th 0.5000 0.5000 0.5000  6 P 2.94
Th 0.5000 0.5000 0.0000  6 P 2.94
Th 0.0000 0.5000 0.5000  6 P 2.94
Ho 0.0000 0.5000 0.0000  6 P 2.92

Entry 4:
A plane-wave DFT calculation with PBE was carried out for crystalline AcHoPa at its relaxed geometry.

## Properties
ΔE to the lowest computed polymorph ... 68 meV per atom
N(E_F) ... 5.2 states/eV/f.u.
ΔE_f ... 0.269 eV/atom
Crystal system ... trigonal

abc: 3.5548 3.5548 8.8510
angles: 90.00 90.00 120.00
Closest atoms and distances in Å follow each position.
Fractional coordinates of all 3 atoms:
Pa 0.0000 0.0000 0.0075  3 Ho 3.39, 3 Ac 3.55, 6 Pa 3.55
Ac 0.3333 0.6667 0.6800  3 Pa 3.55, 6 Ac 3.55, 3 Ho 3.85
Ho 0.6667 0.3333 0.3125  3 Pa 3.39, 6 Ho 3.55

Entry 5:
A plane-wave DFT calculation with PBE was carried out for crystalline Ac2HoPa at its relaxed geometry.

## Properties
N(E_F) ... 6.8 states/eV/f.u.
ΔE_f ... 0.488 eV/atom
Crystal system ... trigonal

abc: 3.5525 3.5525 13.0806
angles: 82.20 82.20 60.00
Closest atoms and distances in Å follow each position.
Fractional coordinates of all 4 atoms:
Ac 0.9137 0.9137 0.2588  1 Pa 3.34, 6 Ac 3.55, 3 Ho 3.73
Ac 0.0863 0.0863 0.7412  1 Pa 3.34, 6 Ac 3.55, 3 Ho 3.73
Pa 0.0000 0.0000 0.0000  2 Ac 3.34, 6 Pa 3.55
Ho 0.5000 0.5000 0.5000  6 Ho 3.55, 6 Ac 3.73

Entry 6:
A plane-wave DFT calculation with PBE was carried out for crystalline AcHoPa at its relaxed geometry.

## Properties
ΔE to the lowest computed polymorph ... 0 meV per atom
N(E_F) ... 5.6 states/eV/f.u.
ΔE_f ... 0.200 eV/atom
Crystal system ... tetragonal

abc: 3.6008 3.6008 15.0809
angles: 90.00 90.00 90.00
Closest atoms and distances in Å follow each position.
Fractional coordinates of all 6 atoms:
Pa 0.0000 0.5000 0.9354  4 Pa 3.21, 4 Ac 3.57
Pa 0.5000 0.0000 0.0646  4 Pa 3.21, 4 Ac 3.57
Ac 0.5000 0.0000 0.7697  4 Pa 3.57, 4 Ac 3.60, 4 Ho 3.86
Ac 0.0000 0.5000 0.2303  4 Pa 3.57, 4 Ac 3.60, 4 Ho 3.86
Ho 0.5000 0.0000 0.4224  8 Ho 3.46-3.60, 4 Ac 3.86
Ho 0.0000 0.5000 0.5776  8 Ho 3.46-3.60, 4 Ac 3.86

Entry 7:
A plane-wave DFT calculation with PBE was carried out for crystalline AcHoPaS6 at its relaxed geometry.

## Properties
N(E_F) ... 10.6 states/eV/f.u.
Crystal system ... trigonal
Energy relative to the elements, uncorrected ... -1.55 eV/atom

abc: 5.9158 7.0435 7.0435
angles: 120.00 90.00 90.00
Closest atoms and distances in Å follow each position.
Fractional coordinates of all 9 atoms:
Ho 0.5000 0.0000 0.0000  6 S 2.72
S 0.2446 0.0322 0.6953  1 Pa 2.66, 1 Ho 2.72, 1 Ac 2.97
S 0.7554 0.0322 0.3369  1 Pa 2.66, 1 Ho 2.72, 1 Ac 2.97
S 0.2446 0.3047 0.3369  1 Pa 2.66, 1 Ho 2.72, 1 Ac 2.97
S 0.7554 0.6631 0.6953  1 Pa 2.66, 1 Ho 2.72, 1 Ac 2.97
S 0.2446 0.6631 0.9678  1 Pa 2.66, 1 Ho 2.72, 1 Ac 2.97
S 0.7554 0.3047 0.9678  1 Pa 2.66, 1 Ho 2.72, 1 Ac 2.97
Ac 0.5000 0.6667 0.3333  6 S 2.97
Pa 0.0000 0.3333 0.6667  6 S 2.66

Entry 8:
A plane-wave DFT calculation with PBE was carried out for crystalline Ac2HoPb at its relaxed geometry.

## Properties
ΔE to the lowest computed polymorph ... 352 meV per atom
N(E_F) ... 6.7 states/eV/f.u.
ΔE_f ... 0.136 eV/atom
Crystal system ... trigonal

abc: 3.6921 3.6921 13.0036
angles: 81.84 81.84 60.00
Closest atoms and distances in Å follow each position.
Fractional coordinates of all 4 atoms:
Ac 0.0908 0.0908 0.7277  1 Ho 3.49, 3 Pb 3.62, 6 Ac 3.69
Ac 0.9092 0.9092 0.2723  1 Ho 3.49, 3 Pb 3.62, 6 Ac 3.69
Ho 0.0000 0.0000 0.0000  2 Ac 3.49, 6 Ho 3.69
Pb 0.5000 0.5000 0.5000  6 Ac 3.62, 6 Pb 3.69

Entry 9:
A plane-wave DFT calculation with PBE was carried out for crystalline Ac4HoPb5 at its relaxed geometry.

## Properties
N(E_F) ... 7.6 states/eV/f.u.
ΔE_f ... -0.465 eV/atom
Crystal system ... tetragonal

abc: 3.8261 3.8261 23.1914
angles: 90.00 90.00 90.00
Closest atoms and distances in Å follow each position.
Fractional coordinates of all 10 atoms:
Pb 0.5000 0.5000 0.7063  8 Ac 3.61, 4 Pb 3.83
Pb 0.5000 0.5000 0.2937  8 Ac 3.61, 4 Pb 3.83
Pb 0.5000 0.5000 0.5000  8 Ac 3.61, 4 Pb 3.83
Pb 0.5000 0.5000 0.0874  4 Ho 3.38, 4 Ac 3.61
Pb 0.5000 0.5000 0.9126  4 Ho 3.38, 4 Ac 3.61
Ac 0.0000 0.0000 0.8095  8 Pb 3.61, 4 Ac 3.83
Ac 0.0000 0.0000 0.6034  8 Pb 3.61, 4 Ac 3.83
Ac 0.0000 0.0000 0.3966  8 Pb 3.61, 4 Ac 3.83
Ac 0.0000 0.0000 0.1905  8 Pb 3.61, 4 Ac 3.83
Ho 0.0000 0.0000 0.0000  8 Pb 3.38

Entry 10:
A plane-wave DFT calculation with PBE was carried out for crystalline Ac2HoPb at its relaxed geometry.

## Properties
ΔE to the lowest computed polymorph ... 126 meV per atom
N(E_F) ... 5.7 states/eV/f.u.
ΔE_f ... -0.090 eV/atom
Crystal system ... cubic

abc: 5.9125 5.9125 5.9125
angles: 60.00 60.00 60.00
Closest atoms and distances in Å follow each position.
Fractional coordinates of all 4 atoms:
Pb 0.5000 0.5000 0.5000  8 Ac 3.62
Ho 0.0000 0.0000 0.0000  8 Ac 3.62
Ac 0.7500 0.7500 0.7500  4 Pb 3.62, 4 Ho 3.62
Ac 0.2500 0.2500 0.2500  4 Pb 3.62, 4 Ho 3.62

Total energy list, top to bottom, in eV per atom: -6.474 -5.766 -6.922 -5.792 -5.085 -5.860 -6.326 -3.989 -4.420 -4.216